The following is a DFT calculation (PBE-GGA) of a geometry-optimized HoSnF3 structure.

Cell lengths 6.824, 6.824, 6.824 Å; angles 139.26, 66.29, 130.12 degrees
Sites, in units of the cell vectors:
Ho 0.251 0.001 0.250
Ho 0.749 0.999 0.750
Sn 0.000 0.500 0.500
Sn 0.500 0.500 0.000
F 0.103 0.000 0.603
F 0.103 0.500 0.103
F 0.370 0.620 0.750
F 0.630 0.380 0.250
F 0.897 0.000 0.397
F 0.897 0.500 0.897

ρ = 7.24 g/cm3
Symmetry = Imma
Total energy = -55.2 eV/cell